Entry 1:
# La3Pr6SmEr2, relaxed, DFT PBE
# * V: 423.39 Å³/f.u.
# * ΔE_f: 0.0184 eV per atom
# * M_tot: 0.0 Bohr magnetons per cell
# * VASP energy: -4.757 eV/atom
data_La3Pr6SmEr2
_chemical_formula_sum 'La6 Pr12 Sm2 Er4'
_cell_length_a 6.3834
_cell_length_b 11.0659
_cell_length_c 12.1761
_cell_angle_alpha 90.00
_cell_angle_beta 100.10
_cell_angle_gamma 90.00
_symmetry_space_group_name_H-M 'C 1 2/m 1'
_symmetry_Int_Tables_number 12
loop_
_symmetry_equiv_pos_as_xyz
'x,y,z'
'-x,-y,-z'
'-x,y,-z'
'x,-y,z'
'x+1/2,y+1/2,z'
'-x+1/2,-y+1/2,-z'
'-x+1/2,y+1/2,-z'
'x+1/2,-y+1/2,z'
loop_
_atom_site_label
_atom_site_type_symbol
_atom_site_fract_x
_atom_site_fract_y
_atom_site_fract_z
La1 La 0.0000 0.0000 0.0000
La2 La 0.0000 0.3332 0.0000
Pr1 Pr 0.2474 0.0000 0.7441
Pr2 Pr 0.2487 0.3328 0.7441
Sm1 Sm 0.0000 0.5000 0.5000
Er1 Er 0.0000 0.1666 0.5000

Entry 2:
# LaPr4Sm2Er2, relaxed, DFT PBE
# * V: 310.65 Å³/f.u.
# * ΔE_f: 0.0213 eV per atom
# * M_tot: 0.0 Bohr magnetons per cell
# * VASP energy: -4.713 eV/atom
data_LaPr4Sm2Er2
_chemical_formula_sum 'La2 Pr8 Sm4 Er4'
_cell_length_a 15.5121
_cell_length_b 5.1709
_cell_length_c 8.1607
_cell_angle_alpha 90.00
_cell_angle_beta 108.35
_cell_angle_gamma 90.00
_symmetry_space_group_name_H-M 'C 1 2/m 1'
_symmetry_Int_Tables_number 12
loop_
_symmetry_equiv_pos_as_xyz
'x,y,z'
'-x,-y,-z'
'-x,y,-z'
'x,-y,z'
'x+1/2,y+1/2,z'
'-x+1/2,-y+1/2,-z'
'-x+1/2,y+1/2,-z'
'x+1/2,-y+1/2,z'
loop_
_atom_site_label
_atom_site_type_symbol
_atom_site_fract_x
_atom_site_fract_y
_atom_site_fract_z
La1 La 0.0000 0.0000 0.0000
Pr1 Pr 0.0550 0.5000 0.3320
Pr2 Pr 0.2226 0.0000 0.3293
Sm1 Sm 0.1118 0.0000 0.6679
Er1 Er 0.1691 0.5000 0.9984

Entry 3:
# La2Pr6SmEr, relaxed, DFT PBE
# * V: 357.80 Å³/f.u.
# * ΔE_f: 0.1078 eV per atom
# * M_tot: 0.0 Bohr magnetons per cell
# * VASP energy: -4.674 eV/atom
data_La2Pr6SmEr
_chemical_formula_sum 'La8 Pr24 Sm4 Er4'
_cell_length_a 9.2879
_cell_length_b 15.3931
_cell_length_c 10.1686
_cell_angle_alpha 90.00
_cell_angle_beta 100.11
_cell_angle_gamma 90.00
_symmetry_space_group_name_H-M 'C 1 2/c 1'
_symmetry_Int_Tables_number 15
loop_
_symmetry_equiv_pos_as_xyz
'x,y,z'
'-x,-y,-z'
'-x,y,-z+1/2'
'x,-y,z+1/2'
'x+1/2,y+1/2,z'
'-x+1/2,-y+1/2,-z'
'-x+1/2,y+1/2,-z+1/2'
'x+1/2,-y+1/2,z+1/2'
loop_
_atom_site_label
_atom_site_type_symbol
_atom_site_fract_x
_atom_site_fract_y
_atom_site_fract_z
La1 La 0.2424 0.0478 0.0417
Pr1 Pr 0.0686 0.1889 0.4452
Pr2 Pr 0.1002 0.3980 0.6202
Pr3 Pr 0.2031 0.2185 0.8108
Sm1 Sm 0.0000 0.0129 0.7500
Er1 Er 0.0000 0.4056 0.2500

Entry 4:
# La2Pr5SmEr, relaxed, DFT PBE
# * V: 322.53 Å³/f.u.
# * ΔE_f: 0.2462 eV per atom
# * M_tot: 0.0 Bohr magnetons per cell
# * VASP energy: -4.535 eV/atom
data_La2Pr5SmEr
_chemical_formula_sum 'La8 Pr20 Sm4 Er4'
_cell_length_a 8.7436
_cell_length_b 8.7436
_cell_length_c 16.8749
_cell_angle_alpha 90.00
_cell_angle_beta 90.00
_cell_angle_gamma 90.00
_symmetry_space_group_name_H-M 'I 4/m c m'
_symmetry_Int_Tables_number 140
_symmetry_space_group_name_Hall '-I 4 2c'
loop_
_atom_site_label
_atom_site_type_symbol
_atom_site_fract_x
_atom_site_fract_y
_atom_site_fract_z
La1 La 0.1212 0.3788 0.0000
Pr1 Pr 0.0000 0.0000 0.0000
Pr2 Pr 0.2210 0.2790 0.3558
Sm1 Sm 0.0000 0.0000 0.2500
Er1 Er 0.0000 0.5000 0.2500

Entry 5:
# La2PrSmEr5, relaxed, DFT PBE
# * V: 297.74 Å³/f.u.
# * ΔE_f: 0.2458 eV per atom
# * M_tot: 0.0 Bohr magnetons per cell
# * VASP energy: -4.439 eV/atom
data_La2PrSmEr5
_chemical_formula_sum 'La8 Pr4 Sm4 Er20'
_cell_length_a 8.7055
_cell_length_b 8.7055
_cell_length_c 15.7145
_cell_angle_alpha 90.00
_cell_angle_beta 90.00
_cell_angle_gamma 90.00
_symmetry_space_group_name_H-M 'I 4/m c m'
_symmetry_Int_Tables_number 140
_symmetry_space_group_name_Hall '-I 4 2c'
loop_
_atom_site_label
_atom_site_type_symbol
_atom_site_fract_x
_atom_site_fract_y
_atom_site_fract_z
La1 La 0.1171 0.3829 0.0000
Pr1 Pr 0.0000 0.0000 0.2500
Sm1 Sm 0.0000 0.5000 0.2500
Er1 Er 0.0000 0.0000 0.0000
Er2 Er 0.2138 0.2862 0.3601

Entry 6:
# LaPr2SmEr, relaxed, DFT PBE
# * V: 179.35 Å³/f.u.
# * ΔE_f: 0.2633 eV per atom
# * M_tot: 0.0 Bohr magnetons per cell
# * VASP energy: -4.490 eV/atom
data_LaPr2SmEr
_chemical_formula_sum 'La2 Pr4 Sm2 Er2'
_cell_length_a 8.6070
_cell_length_b 6.5879
_cell_length_c 6.3579
_cell_angle_alpha 90.00
_cell_angle_beta 95.72
_cell_angle_gamma 90.00
_symmetry_space_group_name_H-M 'P 1 2/c 1'
_symmetry_Int_Tables_number 13
loop_
_symmetry_equiv_pos_as_xyz
'x,y,z'
'-x,-y,-z'
'-x,y,-z+1/2'
'x,-y,z+1/2'
loop_
_atom_site_label
_atom_site_type_symbol
_atom_site_fract_x
_atom_site_fract_y
_atom_site_fract_z
La1 La 0.0000 0.0000 0.0000
Pr1 Pr 0.3123 0.3094 0.2171
Sm1 Sm 0.0000 0.4377 0.7500
Er1 Er 0.5000 0.1660 0.7500